(a)
## CdMoH3 (GGA-PBE)

Data for a geometry-optimized CdMoH3 structure.

Cell: 3.655 3.655 3.655 Å, 90.00 90.00 90.00°
Fractional coordinates of all 5 atoms:
Cd1 0.000 0.000 0.000
Mo1 0.500 0.500 0.500
H1 0.000 0.000 0.500
H2 0.000 0.500 0.000
H3 0.500 0.000 0.000

- total magnetization (μB per cell) = 0.94
- DOS at the Fermi energy (states/eV/atom) = 0.6305

(b)
## CdMoH3 (GGA-PBE)

Data for a geometry-optimized CdMoH3 structure.

Cell: 3.618 3.618 3.618 Å, 90.00 90.00 90.00°
Fractional coordinates of all 5 atoms:
Cd1 0.000 0.000 0.000
Mo1 0.500 0.500 0.500
H1 0.000 0.500 0.500
H2 0.500 0.000 0.500
H3 0.500 0.500 0.000

- total magnetization (μB per cell) = 0.00
- DOS at the Fermi energy (states/eV/atom) = 0.3953

Consider the structures shown above. The most stable of them is (b).